# TlMo2Ru, relaxed, DFT PBE-GGA
data_TlMo2Ru
_cell_length_a 7.4670
_cell_length_b 7.4670
_cell_length_c 5.9329
_cell_angle_alpha 51.00
_cell_angle_beta 51.00
_cell_angle_gamma 90.00
_symmetry_space_group_name_H-M 'P 1'
_symmetry_Int_Tables_number 1
_symmetry_space_group_name_Hall 'P 1'
loop_
_atom_site_label
_atom_site_fract_x
_atom_site_fract_y
_atom_site_fract_z
Ru1 0.5000 0.5000 0.0000
Ru2 0.2500 0.7500 0.5000
Tl1 0.0000 0.0000 0.0000
Tl2 0.7500 0.2500 0.5000
Mo1 0.5732 0.1250 0.2500
Mo2 0.1768 0.6250 0.2500
Mo3 0.3750 0.4268 0.7500
Mo4 0.8750 0.8232 0.7500
# Calculated volume: 150.86 Å³/cell
# Energy above the most stable polymorph in this dataset: 502 meV/atom
# SG: I-42d